Na11W13O39 | GGA+U | optimized geometry

POSCAR file:
```
Na11W13O39
1.0
6.834 -0.006 -0.013
2.307 8.592 0.007
2.257 3.133 13.726
O W Na
39 13 11
Direct
0.269 0.124 0.572
0.430 0.533 0.688
0.544 0.231 0.662
0.231 0.393 0.432
0.189 0.152 0.768
0.873 0.303 0.541
0.112 0.156 0.966
0.107 0.443 0.823
0.500 0.000 0.000
0.971 0.284 0.347
0.555 0.941 0.819
0.029 0.716 0.653
0.722 0.142 0.280
0.731 0.876 0.428
0.046 0.229 0.146
0.633 0.689 0.981
0.739 0.373 0.923
0.367 0.311 0.019
0.445 0.059 0.181
0.127 0.697 0.459
0.820 0.082 0.868
0.647 0.930 0.617
0.769 0.607 0.568
0.180 0.918 0.132
0.500 0.500 0.500
0.893 0.557 0.177
0.888 0.844 0.034
0.278 0.858 0.720
0.000 0.000 0.500
0.176 0.643 0.277
0.360 0.598 0.886
0.570 0.467 0.312
0.954 0.771 0.854
0.456 0.769 0.338
0.261 0.627 0.077
0.811 0.848 0.232
0.640 0.402 0.114
0.353 0.070 0.383
0.824 0.357 0.723
0.346 0.576 0.382
0.887 0.804 0.540
0.270 0.117 0.078
0.500 0.500 0.000
0.579 0.968 0.307
0.421 0.032 0.693
0.654 0.424 0.618
0.808 0.349 0.229
0.113 0.196 0.460
0.038 0.731 0.153
0.962 0.269 0.847
0.192 0.651 0.771
0.730 0.883 0.922
0.231 0.884 0.922
0.539 0.734 0.154
0.845 0.578 0.386
0.000 0.500 0.000
0.619 0.196 0.460
0.155 0.422 0.614
0.924 0.042 0.689
0.381 0.804 0.540
0.769 0.116 0.078
0.076 0.958 0.311
0.461 0.266 0.846
```

* calculated total energy: -6.81 eV per atom
* total moment: 11.0 μB per cell
* density: 6.73 Mg/m³